Arrangement P

Computed, not measured: a relaxed structure of Li2Pm3Hg4 at the PBE level of DFT.

Structure (POSCAR):
```
Li2Pm3Hg4
1.0
-4.076 1.725 -2.816
3.445 -3.486 -2.235
-5.502 -5.853 4.379
Li Pm Hg
2 3 4
direct
0.727 0.455 0.394
0.273 0.545 0.606
0.621 0.242 0.728
0.000 0.000 0.000
0.379 0.758 0.272
0.691 0.381 0.092
0.309 0.619 0.908
0.933 0.867 0.638
0.067 0.133 0.362
```

Summary:
The value obtained for the density of states at the Fermi level is 6.5 states/eV/f.u. Its space-group type is No. 12.

Arrangement Q

Computed, not measured: a relaxed structure of Li2Pm3Hg4 at the PBE level of DFT.

Structure (POSCAR):
```
Li2Pm3Hg4
1.0
4.747 0.000 1.402
2.150 5.468 1.460
0.100 -0.294 8.397
Li Pm Hg
2 3 4
direct
0.374 0.956 0.295
0.626 0.044 0.705
0.340 0.647 0.674
0.000 0.000 0.000
0.660 0.353 0.326
0.290 0.359 0.062
0.710 0.641 0.938
0.074 0.246 0.606
0.926 0.754 0.394
```

Summary:
The value obtained for the density of states at the Fermi level is 6.4 states/eV/f.u. Its space-group type is No. 12.

Computed energies relative to the best structure, in meV/atom: arrangement P 0; arrangement Q 8

Arrangement P

Computed, not measured: a relaxed structure of Li2PmHg at the PBE level of DFT.

Structure (POSCAR):
```
Li2PmHg
1.0
-3.524 0.036 -0.459
-0.458 -0.650 3.464
-0.097 6.956 1.293
Li Hg Pm
2 1 1
direct
0.000 0.000 0.810
0.000 0.000 0.190
0.500 0.500 0.000
0.500 0.500 0.500
```

Summary:
The value obtained for the density of states at the Fermi level is 3.5 states/eV/f.u. Its space-group type is No. 123.

Arrangement Q

Computed, not measured: a relaxed structure of Li2PmHg at the PBE level of DFT.

Structure (POSCAR):
```
Li2PmHg
1.0
4.760 0.000 0.000
0.000 5.702 0.000
0.000 0.000 6.880
Li Pm Hg
4 2 2
direct
0.000 0.241 0.893
0.000 0.759 0.893
0.500 0.259 0.107
0.500 0.741 0.107
0.000 0.000 0.429
0.500 0.500 0.571
0.000 0.500 0.244
0.500 0.000 0.756
```

Summary:
The value obtained for the density of states at the Fermi level is 2.9 states/eV/f.u. Its space-group type is No. 59.

Arrangement R

Computed, not measured: a relaxed structure of Li2PmHg at the PBE level of DFT.

Structure (POSCAR):
```
Li2PmHg
1.0
-2.041 3.709 2.447
-4.507 1.503 -1.153
-3.717 -0.843 3.063
Li Hg Pm
2 1 1
direct
0.250 0.250 0.250
0.750 0.750 0.750
0.500 0.500 0.500
0.000 0.000 0.000
```

Summary:
The value obtained for the density of states at the Fermi level is 3.6 states/eV/f.u. Its space-group type is No. 225.

Arrangement S

Computed, not measured: a relaxed structure of Li2PmHg at the PBE level of DFT.

Structure (POSCAR):
```
Li2PmHg
1.0
-1.546 4.411 -1.165
-1.727 0.213 3.096
9.924 4.322 3.200
Li Pm Hg
4 2 2
direct
0.250 0.258 0.516
0.750 0.742 0.484
0.750 0.469 0.937
0.250 0.531 0.063
0.250 0.890 0.780
0.750 0.110 0.220
0.750 0.339 0.678
0.250 0.661 0.322
```

Summary:
The value obtained for the density of states at the Fermi level is 3.1 states/eV/f.u. Its space-group type is No. 63.

Computed energies relative to the best structure, in meV/atom: arrangement P 101; arrangement Q 0; arrangement R 51; arrangement S 30

Arrangement P

Computed, not measured: a relaxed structure of Li2PmHg at the PBE level of DFT.

Structure (POSCAR):
```
Li2PmHg
1.0
-1.612 -1.233 -4.632
3.334 -0.672 -3.742
0.855 -4.647 -1.822
Li Pm Hg
2 1 1
direct
0.000 0.000 0.000
0.250 0.250 0.249
0.500 0.500 0.500
0.750 0.750 0.751
```

Summary:
The value obtained for the density of states at the Fermi level is 4.9 states/eV/f.u. Its space-group type is No. 160.

Arrangement Q

Computed, not measured: a relaxed structure of Li2PmHg at the PBE level of DFT.

Structure (POSCAR):
```
Li2PmHg
1.0
-0.235 -0.796 -4.965
-0.715 -4.308 0.724
-4.364 0.739 0.088
Li Hg Pm
2 1 1
direct
0.000 0.000 0.500
0.000 0.500 0.000
0.500 0.500 0.500
0.500 0.000 0.000
```

Summary:
The value obtained for the density of states at the Fermi level is 5.3 states/eV/f.u. Its space-group type is No. 123.

Computed energies relative to the best structure, in meV/atom: arrangement P 0; arrangement Q 119

Arrangement P

Computed, not measured: a relaxed structure of LiPm2Hg at the PBE level of DFT.

Structure (POSCAR):
```
LiPm2Hg
1.0
-4.937 -2.069 0.108
-1.247 -3.764 3.597
-3.300 1.159 4.053
Li Hg Pm
1 1 2
direct
0.500 0.500 0.500
0.000 0.000 0.000
0.250 0.250 0.250
0.750 0.750 0.750
```

Summary:
The value obtained for the density of states at the Fermi level is 4.9 states/eV/f.u. Its space-group type is No. 225.

Arrangement Q

Computed, not measured: a relaxed structure of LiPm2Hg at the PBE level of DFT.

Structure (POSCAR):
```
LiPm2Hg
1.0
3.915 0.000 0.000
0.000 5.265 0.000
0.000 0.000 5.265
Li Hg Pm
1 1 2
direct
0.500 0.000 0.000
0.500 0.500 0.500
0.000 0.000 0.500
0.000 0.500 0.000
```

Summary:
The value obtained for the density of states at the Fermi level is 5.2 states/eV/f.u. Its space-group type is No. 123.

Computed energies relative to the best structure, in meV/atom: arrangement P 14; arrangement Q 0

Arrangement P

Computed, not measured: a relaxed structure of LiPm2Hg4 at the PBE level of DFT.

Structure (POSCAR):
```
LiPm2Hg4
1.0
0.845 -2.430 4.288
0.845 -4.929 -0.043
9.078 -0.986 0.568
Li Pm Hg
1 2 4
direct
0.000 0.000 0.000
0.750 0.750 0.750
0.250 0.250 0.250
0.871 0.871 0.387
0.129 0.129 0.613
0.630 0.630 0.110
0.370 0.370 0.890
```

Summary:
The value obtained for the density of states at the Fermi level is 4.3 states/eV/f.u. Its space-group type is No. 166.

Arrangement Q

Computed, not measured: a relaxed structure of LiPm2Hg4 at the PBE level of DFT.

Structure (POSCAR):
```
LiPm2Hg4
1.0
4.797 0.000 0.000
0.000 4.797 0.000
-2.399 -2.399 8.001
Li Pm Hg
1 2 4
direct
0.000 0.000 0.000
0.640 0.640 0.280
0.360 0.360 0.720
0.833 0.833 0.666
0.167 0.167 0.334
0.000 0.500 0.000
0.500 0.000 0.000
```

Summary:
The value obtained for the density of states at the Fermi level is 8.2 states/eV/f.u. Its space-group type is No. 139.

Computed energies relative to the best structure, in meV/atom: arrangement P 0; arrangement Q 92

Arrangement P

Computed, not measured: a relaxed structure of Li4Pm3Hg4 at the PBE level of DFT.

Structure (POSCAR):
```
Li4Pm3Hg4
1.0
4.602 0.000 0.000
0.000 7.755 0.000
-2.301 -3.877 7.261
Li Pm Hg
4 3 4
direct
0.322 0.136 0.645
0.678 0.491 0.355
0.678 0.864 0.355
0.322 0.509 0.645
0.117 0.117 0.234
0.883 0.883 0.766
0.000 0.500 0.000
0.224 0.724 0.447
0.776 0.276 0.553
0.500 0.797 0.000
0.500 0.203 0.000
```

Summary:
The value obtained for the density of states at the Fermi level is 8.6 states/eV/f.u. Its space-group type is No. 71.

Arrangement Q

Computed, not measured: a relaxed structure of Li4Pm3Hg4 at the PBE level of DFT.

Structure (POSCAR):
```
Li4Pm3Hg4
1.0
3.462 -0.001 0.390
-0.085 4.728 0.746
-0.021 -0.037 15.683
Li Pm Hg
4 3 4
direct
0.593 0.094 0.813
0.257 0.257 0.485
0.743 0.743 0.515
0.407 0.906 0.187
0.143 0.644 0.714
0.857 0.356 0.286
0.000 0.000 0.000
0.552 0.551 0.897
0.448 0.449 0.103
0.314 0.814 0.371
0.686 0.186 0.629
```

Summary:
The value obtained for the density of states at the Fermi level is 8.1 states/eV/f.u. Its space-group type is No. 12.

Computed energies relative to the best structure, in meV/atom: arrangement P 0; arrangement Q 7